(1)
VASP calculation (PBE+U) on a relaxed structure of MnCr2MoO8.

abc: 4.5811 4.5753 6.0673
angles: 90.00 90.00 90.58
Last column: nearest neighbours and their distance in Å.
Positions (direct):
Mn 0.0000 0.0000 0.5000  6 O 1.95
Cr 0.5000 0.5000 0.7437  6 O 1.95-2.00
Cr 0.5000 0.5000 0.2563  6 O 1.95-2.00
Mo 0.0000 0.0000 0.0000  6 O 1.96-1.99
O 0.1929 0.8057 0.2545  1 Mn 1.95, 1 Mo 1.99, 1 Cr 1.99
O 0.6955 0.6967 0.0000  1 Mo 1.96, 2 Cr 2.00
O 0.8071 0.1943 0.2545  1 Mn 1.95, 1 Mo 1.99, 1 Cr 1.99
O 0.8071 0.1943 0.7455  1 Mn 1.95, 1 Mo 1.99, 1 Cr 1.99
O 0.3045 0.3033 0.0000  1 Mo 1.96, 2 Cr 2.00
O 0.1929 0.8057 0.7455  1 Mn 1.95, 1 Mo 1.99, 1 Cr 1.99
O 0.6967 0.6983 0.5000  1 Mn 1.95, 2 Cr 1.95
O 0.3033 0.3017 0.5000  1 Mn 1.95, 2 Cr 1.95

For the calculated total energy, the calculation gives -7.395 eV per atom. As for the volume: 127.2 Å³ per cell. The calculation puts the size of the total moment at 0.75 μB per atom.



(2)
VASP calculation (PBE+U) on a relaxed structure of MnCr2MoO6.

abc: 5.2518 5.2352 5.5882
angles: 61.86 62.19 60.32
Last column: nearest neighbours and their distance in Å.
Positions (direct):
Mn 0.8052 0.7990 0.5918  5 O 2.10-2.30
Cr 0.5201 0.5177 0.4447  6 O 2.00-2.11
Cr 0.0124 0.0119 0.9606  6 O 2.02-2.10
Mo 0.3190 0.3126 0.0542  6 O 2.03-2.12
O 0.6160 0.2446 0.2318  2 Cr 2.01-2.10, 1 Mo 2.03
O 0.2320 0.9085 0.2412  2 Cr 2.03-2.09, 1 Mo 2.05
O 0.9033 0.6219 0.2421  2 Cr 2.00-2.06, 1 Mo 2.11
O 0.3854 0.7227 0.7515  2 Cr 2.02-2.11, 1 Mo 2.09, 1 Mn 2.12
O 0.7268 0.1359 0.7473  2 Cr 2.02-2.10, 1 Mn 2.10, 1 Mo 2.12
O 0.1413 0.3868 0.7499  2 Cr 2.02-2.10, 1 Mo 2.10, 1 Mn 2.11

For the calculated total energy, the calculation gives -7.719 eV per atom. As for the volume: 112.1 Å³ per cell. The calculation puts the size of the total moment at 1.30 μB per atom.